Here is a PBEsol-optimized structure of MgGa3 from Alexandria via LeMat-Bulk. Energies are from SCAN.

Cell and atoms, written as CIF:
```
data_MgGa3
_chemical_formula_sum 'Mg1 Ga3'
_cell_length_a 4.135
_cell_length_b 4.135
_cell_length_c 4.135
_cell_angle_alpha 90.00
_cell_angle_beta 90.00
_cell_angle_gamma 90.00
_symmetry_space_group_name_H-M 'P m -3 m'
_symmetry_Int_Tables_number 221
_symmetry_space_group_name_Hall '-P 4 2 3'
loop_
_atom_site_label
_atom_site_fract_x
_atom_site_fract_y
_atom_site_fract_z
Mg1 0.000 0.000 0.000
Ga1 0.000 0.500 0.500
```

Results
Magnetization = 0.0 Bohr magnetons per cell
Calculated formation energy = -107.8 meV/atom


Here is a PBEsol-optimized structure of Mg3Ga from Alexandria via LeMat-Bulk. Energies are from SCAN.

Cell and atoms, written as CIF:
```
data_Mg3Ga
_chemical_formula_sum 'Mg6 Ga2'
_cell_length_a 4.354
_cell_length_b 4.354
_cell_length_c 8.537
_cell_angle_alpha 90.00
_cell_angle_beta 90.00
_cell_angle_gamma 90.00
_symmetry_space_group_name_H-M 'I 4/m m m'
_symmetry_Int_Tables_number 139
_symmetry_space_group_name_Hall '-I 4 2'
loop_
_atom_site_label
_atom_site_fract_x
_atom_site_fract_y
_atom_site_fract_z
Mg1 0.000 0.000 0.000
Mg2 0.000 0.500 0.250
Ga1 0.000 0.000 0.500
```

Results
Magnetization = 0.0 Bohr magnetons per cell
Calculated formation energy = -91.5 meV/atom


Here is a PBEsol-optimized structure of MgGa3 from Alexandria via LeMat-Bulk. Energies are from SCAN.

Cell and atoms, written as CIF:
```
data_MgGa3
_chemical_formula_sum 'Mg4 Ga12'
_cell_length_a 6.671
_cell_length_b 6.671
_cell_length_c 6.671
_cell_angle_alpha 90.00
_cell_angle_beta 90.00
_cell_angle_gamma 90.00
_symmetry_space_group_name_H-M 'F m -3 m'
_symmetry_Int_Tables_number 225
_symmetry_space_group_name_Hall '-F 4 2 3'
loop_
_atom_site_label
_atom_site_fract_x
_atom_site_fract_y
_atom_site_fract_z
Mg1 0.000 0.000 0.000
Ga1 0.000 0.000 0.500
Ga2 0.250 0.250 0.250
```

Results
Magnetization = 0.0 Bohr magnetons per cell
Calculated formation energy = 10.7 meV/atom


Here is a PBEsol-optimized structure of MgGa3 from Alexandria via LeMat-Bulk. Energies are from SCAN.

Cell and atoms, written as CIF:
```
data_MgGa3
_chemical_formula_sum 'Mg2 Ga6'
_cell_length_a 5.8444
_cell_length_b 5.8444
_cell_length_c 4.8632
_cell_angle_alpha 90.00
_cell_angle_beta 90.00
_cell_angle_gamma 120.00
_symmetry_space_group_name_H-M 'P 63/m m c'
_symmetry_Int_Tables_number 194
_symmetry_space_group_name_Hall '-P 6c 2c'
loop_
_atom_site_label
_atom_site_fract_x
_atom_site_fract_y
_atom_site_fract_z
Mg1 0.3333 0.6667 0.2500
Ga1 0.1628 0.3255 0.7500
```

Results
Magnetization = 0.0 Bohr magnetons per cell
Calculated formation energy = -80.2 meV/atom


Here is a PBEsol-optimized structure of Mg3Ga from Alexandria via LeMat-Bulk. Energies are from SCAN.

Cell and atoms, written as CIF:
```
data_Mg3Ga
_chemical_formula_sum 'Mg3 Ga1'
_cell_length_a 3.1509
_cell_length_b 3.1509
_cell_length_c 9.6688
_cell_angle_alpha 90.00
_cell_angle_beta 90.00
_cell_angle_gamma 120.00
_symmetry_space_group_name_H-M 'P -6 m 2'
_symmetry_Int_Tables_number 187
_symmetry_space_group_name_Hall 'P -6 2'
loop_
_atom_site_label
_atom_site_fract_x
_atom_site_fract_y
_atom_site_fract_z
Mg1 0.0000 0.0000 0.0000
Mg2 0.6667 0.3333 0.2682
Ga1 0.0000 0.0000 0.5000
```

Results
Magnetization = 0.0 Bohr magnetons per cell
Calculated formation energy = -47.5 meV/atom


Here is a PBEsol-optimized structure of MgGa3 from Alexandria via LeMat-Bulk. Energies are from SCAN.

Cell and atoms, written as CIF:
```
data_MgGa3
_chemical_formula_sum 'Mg2 Ga6'
_cell_length_a 4.093
_cell_length_b 4.093
_cell_length_c 8.523
_cell_angle_alpha 90.00
_cell_angle_beta 90.00
_cell_angle_gamma 90.00
_symmetry_space_group_name_H-M 'I 4/m m m'
_symmetry_Int_Tables_number 139
_symmetry_space_group_name_Hall '-I 4 2'
loop_
_atom_site_label
_atom_site_fract_x
_atom_site_fract_y
_atom_site_fract_z
Mg1 0.000 0.000 0.000
Ga1 0.000 0.000 0.500
Ga2 0.000 0.500 0.250
```

Results
Magnetization = 0.0 Bohr magnetons per cell
Calculated formation energy = -94.9 meV/atom


Here is a PBEsol-optimized structure of MgGa3 from Alexandria via LeMat-Bulk. Energies are from SCAN.

Cell and atoms, written as CIF:
```
data_MgGa3
_chemical_formula_sum 'Mg1 Ga3'
_cell_length_a 3.228
_cell_length_b 4.717
_cell_length_c 4.779
_cell_angle_alpha 90.00
_cell_angle_beta 90.00
_cell_angle_gamma 90.00
_symmetry_space_group_name_H-M 'P m m 2'
_symmetry_Int_Tables_number 25
loop_
_symmetry_equiv_pos_as_xyz
'x,y,z'
'-x,-y,z'
'-x,y,z'
'x,-y,z'
loop_
_atom_site_label
_atom_site_fract_x
_atom_site_fract_y
_atom_site_fract_z
Mg1 0.000 0.000 0.000
Ga1 0.000 0.500 0.639
Ga2 0.500 0.000 0.501
Ga3 0.500 0.500 0.151
```

Results
Magnetization = 0.0 Bohr magnetons per cell
Calculated formation energy = -31.8 meV/atom


Here is a PBEsol-optimized structure of Mg3Ga from Alexandria via LeMat-Bulk. Energies are from SCAN.

Cell and atoms, written as CIF:
```
data_Mg3Ga
_chemical_formula_sum 'Mg3 Ga1'
_cell_length_a 4.315
_cell_length_b 4.315
_cell_length_c 4.315
_cell_angle_alpha 90.00
_cell_angle_beta 90.00
_cell_angle_gamma 90.00
_symmetry_space_group_name_H-M 'P m -3 m'
_symmetry_Int_Tables_number 221
_symmetry_space_group_name_Hall '-P 4 2 3'
loop_
_atom_site_label
_atom_site_fract_x
_atom_site_fract_y
_atom_site_fract_z
Mg1 0.000 0.000 0.500
Ga1 0.500 0.500 0.500
```

Results
Magnetization = 0.1 Bohr magnetons per cell
Calculated formation energy = -105.8 meV/atom